w:
Here is a PBEsol-optimized structure of LiAg2Ru from the Alexandria database. Energies are from SCAN.

Computed properties:
Crystal system = cubic

Unit cell a=4.415 b=4.415 c=4.415 alpha=60.00 beta=60.00 gamma=60.00
Positions (direct):
Ag  0.250  0.250  0.250
Ru  0.500  0.500  0.500
Ag  0.750  0.750  0.750
Li  0.000  0.000  0.000

x:
Here is a PBEsol-optimized structure of LiAg2Ru from the Alexandria database. Energies are from SCAN.

Computed properties:
Crystal system = monoclinic

Unit cell a=2.634 b=4.866 c=4.898 alpha=97.39 beta=90.00 gamma=105.70
Positions (direct):
Ag  0.002  0.004  0.020
Ag  0.251  0.502  0.737
Ru  0.748  0.496  0.241
Li  0.499  0.998  0.502

y:
Here is a PBEsol-optimized structure of LiAg2Ru from the Alexandria database. Energies are from SCAN.

Computed properties:
Crystal system = orthorhombic

Unit cell a=2.598 b=4.214 c=5.516 alpha=90.00 beta=90.00 gamma=90.00
Positions (direct):
Ag  0.500  0.500  0.260
Ru  0.500  0.500  0.752
Ag  0.000  0.000  0.984
Li  0.000  0.000  0.505

Relative calculated energies, zero for the most stable structure, unit kJ/mol of atoms: w 14.7; x 0.0; y 6.7.

w:
Here is a PBEsol-optimized structure of LiAgSb2 from the Alexandria database. Energies are from SCAN.

Computed properties:
Crystal system = monoclinic

Unit cell a=3.182 b=4.435 c=6.408 alpha=90.00 beta=89.89 gamma=90.00
Positions (direct):
Ag  0.500  0.500  0.000
Li  0.000  0.500  0.500
Sb  0.499  0.000  0.736
Sb  0.501  0.000  0.264

x:
Here is a PBEsol-optimized structure of LiAgSb2 from the Alexandria database. Energies are from SCAN.

Computed properties:
Crystal system = tetragonal

Unit cell a=4.112 b=4.533 c=4.533 alpha=90.00 beta=90.00 gamma=90.00
Positions (direct):
Sb  0.000  0.500  0.000
Ag  0.500  0.500  0.500
Sb  0.000  0.000  0.500
Li  0.500  0.000  0.000

Relative calculated energies, zero for the most stable structure, unit kJ/mol of atoms: w 0.0; x 3.3.

w:
Here is a PBEsol-optimized structure of Sr2LiAg from the Alexandria database. Energies are from SCAN.

Computed properties:
Crystal system = cubic

Unit cell a=5.594 b=5.594 c=5.594 alpha=60.00 beta=60.00 gamma=60.00
Positions (direct):
Sr  0.250  0.250  0.250
Ag  0.500  0.500  0.500
Li  0.000  0.000  0.000
Sr  0.750  0.750  0.750

x:
Here is a PBEsol-optimized structure of Sr2LiAg from the Alexandria database. Energies are from SCAN.

Computed properties:
Crystal system = orthorhombic

Unit cell a=4.611 b=4.655 c=6.475 alpha=90.00 beta=110.86 gamma=90.00
Positions (direct):
Li  0.695  0.500  0.389
Ag  0.814  0.000  0.629
Sr  0.106  0.000  0.212
Sr  0.392  0.500  0.785

Relative calculated energies, zero for the most stable structure, unit kJ/mol of atoms: w 5.9; x 0.0.

w:
Here is a PBEsol-optimized structure of SrLi2Ag2 from the Alexandria database. Energies are from SCAN.

Computed properties:
Crystal system = tetragonal

Unit cell a=4.286 b=4.286 c=6.864 alpha=108.19 beta=108.19 gamma=90.00
Positions (direct):
Sr  0.000  0.000  0.000
Li  0.750  0.250  0.500
Ag  0.389  0.389  0.778
Li  0.250  0.750  0.500
Ag  0.611  0.611  0.222

x:
Here is a PBEsol-optimized structure of SrLi2Ag2 from the Alexandria database. Energies are from SCAN.

Computed properties:
Crystal system = tetragonal

Unit cell a=3.289 b=7.840 c=7.840 alpha=90.00 beta=90.00 gamma=90.00
Positions (direct):
Ag  0.500  0.831  0.331
Li  0.000  0.119  0.381
Ag  0.500  0.331  0.169
Sr  0.000  0.500  0.500
Ag  0.500  0.169  0.669
Sr  0.000  0.000  0.000
Li  0.000  0.381  0.881
Li  0.000  0.881  0.619
Ag  0.500  0.669  0.831
Li  0.000  0.619  0.119

Relative calculated energies, zero for the most stable structure, unit kJ/mol of atoms: w 0.0; x 8.6.

w:
Here is a PBEsol-optimized structure of LiTaAg from the Alexandria database. Energies are from SCAN.

Computed properties:
Crystal system = orthorhombic

Unit cell a=2.710 b=2.710 c=7.444 alpha=96.78 beta=96.78 gamma=110.58
Positions (direct):
Ag  0.003  0.003  0.007
Ta  0.336  0.336  0.672
Li  0.661  0.661  0.322

x:
Here is a PBEsol-optimized structure of LiTaAg from the Alexandria database. Energies are from SCAN.

Computed properties:
Crystal system = cubic

Unit cell a=4.289 b=4.289 c=4.289 alpha=60.00 beta=60.00 gamma=60.00
Positions (direct):
Ag  0.250  0.250  0.250
Ta  0.500  0.500  0.500
Li  0.000  0.000  0.000

Relative calculated energies, zero for the most stable structure, unit kJ/mol of atoms: w 0.0; x 66.1.

w:
Here is a PBEsol-optimized structure of LiTc2Ag from the Alexandria database. Energies are from SCAN.

Computed properties:
Crystal system = tetragonal

Unit cell a=2.533 b=2.533 c=9.024 alpha=90.00 beta=90.00 gamma=90.00
Positions (direct):
Tc  0.000  0.000  0.745
Li  0.500  0.500  0.500
Tc  0.000  0.000  0.255
Ag  0.500  0.500  0.000

x:
Here is a PBEsol-optimized structure of LiTc2Ag from the Alexandria database. Energies are from SCAN.

Computed properties:
Crystal system = monoclinic

Unit cell a=2.583 b=4.531 c=5.164 alpha=93.42 beta=90.00 gamma=106.56
Positions (direct):
Tc  0.000  0.001  0.974
Li  0.755  0.510  0.269
Tc  0.241  0.481  0.790
Ag  0.504  0.008  0.467

Relative calculated energies, zero for the most stable structure, unit kJ/mol of atoms: w 17.6; x 0.0.